LaCrN2O | the Alexandria database | PBE with a Hubbard U | optimized geometry; crystal system = tetragonal; energy = -7.835 eV per atom; symmetry = No. 123; spin magnetization = 1.08 μB per formula unit
1.0
-1.768 2.372 -2.431
0.113 -2.698 -2.715
-3.587 -1.400 1.242
La N Cr O
1 2 1 1
Cartesian
-2.621 -0.863 -1.952
-0.884 1.186 -1.216
0.057 -1.349 -1.358
0.000 0.000 0.000
-1.794 -0.700 0.621